The following is a PBE calculation of a relaxed structure of In2CoI2, from Alexandria.

Cell lengths 6.872, 6.872, 8.549 Å; angles 90.00, 90.00, 90.00 degrees
Space group I4/mmm (No. 139)
Symmetry-distinct sites (fractional):
1 In 0.000 0.500 0.250
2 Co 0.000 0.000 0.000
3 I 0.000 0.000 0.284

D(E_F)   1.338 states/eV per atom
Distance to the lowest polymorph of the same formula   54 meV per atom
Total moment   2.51 μB/cell
Crystal system   tetragonal
Raw formation energy   0.297 eV per atom